! Sr2CaMgN (GGA-PBE, relaxed); values from VASP
&SYSTEM
  ibrav = 0, nat = 5, ntyp = 4
/
ATOMIC_SPECIES
Sr 87.62 Sr.upf
Ca 40.08 Ca.upf
Mg 24.30 Mg.upf
N 14.01 N.upf
ATOMIC_POSITIONS angstrom
Sr 0.0000 0.0000 2.7585
Sr 2.7585 0.0000 0.0000
Ca 2.7585 2.3479 2.7585
Mg 0.0000 2.3479 0.0000
N 0.0000 0.0000 0.0000
CELL_PARAMETERS angstrom
5.5171 0.0000 0.0000
0.0000 4.6958 0.0000
0.0000 0.0000 5.5171
! - symmetry = P4/mmm
! - raw formation energy (meV per atom) = -62
! - size of the total moment (μB/cell) = 0.00